(1)
## KBaMn (PBE)

Data for a relaxed structure of KBaMn.

abc: 8.3752 8.3752 8.3752
angles: 90.00 90.00 90.00
Space group F-43m (No. 216)
Unique sites:
K (0.0000, 0.0000, 0.0000) (multiplicity 4)
Ba (0.0000, 0.0000, 0.5000) (multiplicity 4)
Mn (0.2500, 0.2500, 0.2500) (multiplicity 4)

Results
D(E_F): 17.87 states/eV per cell
relative energy among the computed polymorphs: 149 meV per atom
mass density: 2.62 g/cm3
VASP energy: -39.3 eV/cell
crystal system: cubic

(2)
## K3In3Au8 (PBE)

Data for a relaxed structure of K3In3Au8.

abc: 4.8656 10.1003 14.1078
angles: 90.00 90.00 90.00
Space group Immm (No. 71)
Unique sites:
K (0.0000, 0.0000, 0.0000) (multiplicity 2)
K (0.0000, 0.0000, 0.2926) (multiplicity 4)
In (0.0000, 0.2203, 0.5000) (multiplicity 4)
In (0.0000, 0.5000, 0.0000) (multiplicity 2)
Au (0.0000, 0.2870, 0.1321) (multiplicity 8)
Au (0.0000, 0.3601, 0.3304) (multiplicity 8)

Results
D(E_F): 8.59 states/eV per cell
mass density: 9.76 g/cm3
VASP energy: -81.3 eV/cell
crystal system: orthorhombic

(3)
## LaNd2Ag2 (PBE)

Data for a relaxed structure of LaNd2Ag2.

abc: 5.3620 5.0258 11.6221
angles: 90.00 96.39 90.00
Space group P2_1/m (No. 11)
Unique sites:
La (0.1989, 0.2500, 0.2459) (multiplicity 2)
Nd (0.2495, 0.7500, 0.4900) (multiplicity 2)
Nd (0.3423, 0.2500, 0.8857) (multiplicity 2)
Ag (0.1348, 0.7500, 0.0026) (multiplicity 2)
Ag (0.2799, 0.2500, 0.6354) (multiplicity 2)

Results
D(E_F): 11.36 states/eV per cell
relative energy among the computed polymorphs: 94 meV per atom
mass density: 6.86 g/cm3
VASP energy: -41.3 eV/cell
crystal system: monoclinic